No. 1
## RbMgSc2Te4 (PBE-GGA)

Data for a relaxed RbMgSc2Te4 crystal.

## Properties
- E_form (uncorrected) (meV per atom) = -1029.6
- symmetry = Cmcm, No. 63
- size of the total moment (μB per formula unit) = 0.51
- density of states at the Fermi level (states/eV/atom) = 0.565

Cell and atoms, written as POSCAR:
```
RbMgSc2Te4
1.0
2.179 -7.528 0.000
2.179 7.528 0.000
0.000 0.000 15.459
Rb Mg Sc Te
2 2 4 8
Cartesian
2.179 5.668 11.594
2.179 -5.668 3.865
2.179 5.039 3.865
2.179 -5.039 11.594
2.179 1.838 8.592
2.179 1.838 14.596
2.179 -1.838 0.862
2.179 -1.838 6.867
0.000 0.000 0.000
0.000 0.000 7.729
2.179 3.656 1.527
2.179 3.656 6.203
2.179 0.862 11.594
2.179 -0.862 3.865
2.179 -3.656 9.256
2.179 -3.656 13.932
```

No. 2
## NbAl2CuNi (PBE-GGA)

Data for a relaxed NbAl2CuNi crystal.

## Properties
- symmetry = P4/mmm, No. 123
- size of the total moment (μB per formula unit) = 0.00
- density of states at the Fermi level (states/eV/atom) = 0.738
- DFT formation energy (meV/atom) = 1216

Cell and atoms, written as POSCAR:
```
NbAl2CuNi
1.0
5.004 0.000 0.000
0.000 5.004 0.000
0.000 0.000 4.464
Nb Al Cu Ni
1 2 1 1
Cartesian
0.000 0.000 0.000
0.000 2.502 0.000
2.502 0.000 0.000
2.502 2.502 2.232
0.000 0.000 2.232
```